Record 1
The following is a PBE-GGA calculation of an optimized crystal structure of AsOsAuBr2, from Alexandria.

Calculated values
The calculation puts the density of states at the Fermi level at 4.83 states/eV/f.u. For the volume, the calculation gives 126.72 Å³/cell. The calculation puts the offset from the most stable computed form at 0 meV per atom. As for the energy relative to the elements, uncorrected: 769 meV/atom. As for the final energy: -18.66 eV for the cell shown.

Structure (CIF):
```
data_AsOsAuBr2
_chemical_formula_sum 'As1 Os1 Au1 Br2'
_symmetry_space_group_name_H-M 'P 4/m m m'
_symmetry_Int_Tables_number 123
_symmetry_space_group_name_Hall '-P 4 2'
_cell_length_a 5.217
_cell_length_b 5.217
_cell_length_c 4.655
_cell_angle_alpha 90.00
_cell_angle_beta 90.00
_cell_angle_gamma 90.00
loop_
_atom_site_label
_atom_site_fract_x
_atom_site_fract_y
_atom_site_fract_z
As1 0.000 0.000 0.000
Os1 0.000 0.000 0.500
Au1 0.500 0.500 0.000
Br1 0.000 0.500 0.500
```


Record 2
The following is a PBE-GGA calculation of an optimized crystal structure of La2TbPrTm2, from Alexandria.

Calculated values
The calculation puts the density of states at the Fermi level at 8.66 states/eV/f.u. For the volume, the calculation gives 406.70 Å³/cell. Its formation energy is 0.069 eV/atom. As for the final energy: -55.59 eV for the cell shown.

Structure (CIF):
```
data_La2TbPrTm2
_chemical_formula_sum 'La4 Tb2 Pr2 Tm4'
_symmetry_space_group_name_H-M 'P m c 21'
_symmetry_Int_Tables_number 26
_cell_length_a 5.655
_cell_length_b 10.355
_cell_length_c 6.945
_cell_angle_alpha 90.00
_cell_angle_beta 90.00
_cell_angle_gamma 90.00
loop_
_symmetry_equiv_pos_as_xyz
'x,y,z'
'-x,-y,z+1/2'
'-x,y,z'
'x,-y,z+1/2'
loop_
_atom_site_label
_atom_site_fract_x
_atom_site_fract_y
_atom_site_fract_z
La1 0.000 0.025 0.000
La2 0.500 0.201 0.266
Tb1 0.500 0.473 0.897
Pr1 0.000 0.309 0.639
Tm1 0.000 0.373 0.145
Tm2 0.500 0.133 0.758
```


Record 3
The following is a PBE-GGA calculation of an optimized crystal structure of Ba4Zr3O10, from Alexandria.

Calculated values
The calculation puts the density of states at the Fermi level at 0.00 states/eV/f.u. For the volume, the calculation gives 554.35 Å³/cell. As for the energy relative to the elements, uncorrected: -3144 meV/atom. As for the final energy: -272.74 eV for the cell shown.

Structure (CIF):
```
data_Ba4Zr3O10
_chemical_formula_sum 'Ba8 Zr6 O20'
_symmetry_space_group_name_H-M 'I 4/m m m'
_symmetry_Int_Tables_number 139
_symmetry_space_group_name_Hall '-I 4 2'
_cell_length_a 4.256
_cell_length_b 4.256
_cell_length_c 30.602
_cell_angle_alpha 90.00
_cell_angle_beta 90.00
_cell_angle_gamma 90.00
loop_
_atom_site_label
_atom_site_fract_x
_atom_site_fract_y
_atom_site_fract_z
Ba1 0.000 0.000 0.069
Ba2 0.000 0.000 0.204
Zr1 0.000 0.000 0.360
Zr2 0.000 0.000 0.500
O1 0.000 0.000 0.291
O2 0.000 0.000 0.431
O3 0.000 0.500 0.000
O4 0.000 0.500 0.139
```


Record 4
The following is a PBE-GGA calculation of an optimized crystal structure of In2SbCl, from Alexandria.

Calculated values
The calculation puts the density of states at the Fermi level at 2.13 states/eV/f.u. For the volume, the calculation gives 208.48 Å³/cell. The calculation puts the offset from the most stable computed form at 250 meV per atom. As for the energy relative to the elements, uncorrected: -132 meV/atom. As for the final energy: -23.94 eV for the cell shown.

Structure (CIF):
```
data_In2SbCl
_chemical_formula_sum 'In4 Sb2 Cl2'
_symmetry_space_group_name_H-M 'I m m 2'
_symmetry_Int_Tables_number 44
_cell_length_a 5.295
_cell_length_b 5.311
_cell_length_c 7.414
_cell_angle_alpha 90.00
_cell_angle_beta 90.00
_cell_angle_gamma 90.00
loop_
_symmetry_equiv_pos_as_xyz
'x,y,z'
'-x,-y,z'
'-x,y,z'
'x,-y,z'
'x+1/2,y+1/2,z+1/2'
'-x+1/2,-y+1/2,z+1/2'
'-x+1/2,y+1/2,z+1/2'
'x+1/2,-y+1/2,z+1/2'
loop_
_atom_site_label
_atom_site_fract_x
_atom_site_fract_y
_atom_site_fract_z
In1 0.000 0.000 0.000
In2 0.000 0.500 0.251
Sb1 0.000 0.500 0.752
Cl1 0.000 0.000 0.500
```


Record 5
The following is a PBE-GGA calculation of an optimized crystal structure of Ti2MnAl5Pd2, from Alexandria.

Calculated values
The calculation puts the density of states at the Fermi level at 5.13 states/eV/f.u. For the volume, the calculation gives 312.70 Å³/cell. Its formation energy is -0.395 eV/atom. As for the final energy: -116.01 eV for the cell shown.

Structure (CIF):
```
data_Ti2MnAl5Pd2
_chemical_formula_sum 'Ti4 Mn2 Al10 Pd4'
_symmetry_space_group_name_H-M 'P 4/m b m'
_symmetry_Int_Tables_number 127
_symmetry_space_group_name_Hall '-P 4 2ab'
_cell_length_a 10.382
_cell_length_b 10.382
_cell_length_c 2.901
_cell_angle_alpha 90.00
_cell_angle_beta 90.00
_cell_angle_gamma 90.00
loop_
_atom_site_label
_atom_site_fract_x
_atom_site_fract_y
_atom_site_fract_z
Ti1 0.179 0.321 0.000
Mn1 0.000 0.000 0.000
Al1 0.000 0.500 0.500
Al2 0.030 0.806 0.500
Pd1 0.140 0.640 0.000
```


Record 6
The following is a PBE-GGA calculation of an optimized crystal structure of HfPS, from Alexandria.

Calculated values
The calculation puts the density of states at the Fermi level at 1.63 states/eV/f.u. For the volume, the calculation gives 96.68 Å³/cell. As for the energy relative to the elements, uncorrected: -805 meV/atom. As for the final energy: -43.81 eV for the cell shown.

Structure (CIF):
```
data_HfPS
_chemical_formula_sum 'Hf2 P2 S2'
_symmetry_space_group_name_H-M 'I 4 m m'
_symmetry_Int_Tables_number 107
_symmetry_space_group_name_Hall 'I 4 -2'
_cell_length_a 3.397
_cell_length_b 3.397
_cell_length_c 8.379
_cell_angle_alpha 90.00
_cell_angle_beta 90.00
_cell_angle_gamma 90.00
loop_
_atom_site_label
_atom_site_fract_x
_atom_site_fract_y
_atom_site_fract_z
Hf1 0.000 0.000 0.000
P1 0.000 0.000 0.660
S1 0.000 0.000 0.341
```


no.,total magnetic moment (μB per atom)
1,0.000
2,0.000
3,0.000
4,0.000
5,0.116
6,0.000